1.
meta-GGA SCAN SnAsOs2W, single point on PBEsol structure; E = -50.9871 eV/atom; V = 22.22 Å³ per atom; total magnetization = 2.38 μB per formula unit; calculated formation energy = 2.92 eV per atom; space group = P4/mmm, No. 123
1.0
-4.284 -1.041 -1.791
-0.083 -4.025 2.537
-2.134 2.386 3.716
As Os Sn W
1 2 1 1
Cartesian
-3.250 -1.340 2.231
-0.041 -2.013 1.269
-2.142 -0.520 -0.896
0.000 0.000 0.000
-1.067 1.193 1.858

2.
meta-GGA SCAN SnHgCl2, single point on PBEsol structure; energy above the lowest structure with this stoichiometry = 0 meV/atom; ΔE_f (raw) = -246 kJ/mol of formula units; E = -30.6480 eV/atom; V = 36.69 Å³ per atom; total magnetization = 0.00 μB per formula unit; space group = R-3m, No. 166
1.0
4.075 0.000 0.000
2.038 3.529 0.000
2.038 1.176 10.204
Hg Sn Cl
1 1 2
Cartesian
0.000 0.000 0.000
4.075 2.353 5.102
6.113 3.529 3.529
2.038 1.176 6.675

3.
meta-GGA SCAN CrBPbO4, single point on PBEsol structure; ΔE_f (raw) = -1522 kJ/mol of formula units; E = -20.3282 eV/atom; V = 11.94 Å³ per atom; total magnetization = 3.00 μB per formula unit; space group = Pnma, No. 62
1.0
5.940 0.000 0.000
0.000 6.930 0.000
0.000 0.000 8.119
Cr B Pb O
4 4 4 16
Cartesian
0.000 3.465 4.059
2.970 3.465 4.059
2.970 0.000 0.000
0.000 0.000 0.000
4.455 1.551 5.972
4.455 5.016 6.206
1.485 1.914 1.913
1.485 5.379 2.147
4.455 3.056 1.087
1.485 3.874 7.031
4.455 6.521 2.972
1.485 0.409 5.147
5.656 4.642 5.633
2.686 2.288 2.486
3.254 1.177 6.545
0.284 5.753 1.573
4.455 5.755 7.386
1.485 4.640 3.327
1.485 1.175 0.733
4.455 2.290 4.792
4.455 0.735 0.971
1.485 6.195 7.147
4.455 4.199 3.088
1.485 2.730 5.031
5.656 1.177 6.545
2.686 5.753 1.573
3.254 4.642 5.633
0.284 2.288 2.486

4.
meta-GGA SCAN CaSc2Ta, single point on PBEsol structure; energy above the lowest structure with this stoichiometry = 46 meV/atom; E = -25.7633 eV/atom; V = 24.22 Å³ per atom; total magnetization = 0.00 μB per formula unit; calculated formation energy = 0.42 eV per atom; space group = Pmm2, No. 25
1.0
3.146 0.000 0.000
0.000 4.308 0.000
0.000 0.000 7.146
Sc Ca Ta
2 1 1
Cartesian
0.000 0.000 0.338
1.573 2.154 1.975
1.573 2.154 5.190
0.000 0.000 3.216

5.
meta-GGA SCAN La2YIr, single point on PBEsol structure; energy above the lowest structure with this stoichiometry = 0 meV/atom; E = -46.6118 eV/atom; V = 27.61 Å³ per atom; total magnetization = 1.90 μB per formula unit; calculated formation energy = -0.32 eV per atom; space group = P4/mmm, No. 123
1.0
3.664 0.044 0.000
-0.039 3.664 0.000
0.000 0.000 8.228
Ir La Y
1 2 1
Cartesian
1.812 1.854 0.000
0.000 0.000 1.606
0.000 0.000 6.623
1.812 1.854 4.114

6.
meta-GGA SCAN KSr2W, single point on PBEsol structure; energy above the lowest structure with this stoichiometry = 239 meV/atom; E = -29.2926 eV/atom; V = 41.52 Å³ per atom; total magnetization = 3.36 μB per formula unit; calculated formation energy = 1.35 eV per atom; space group = P4mm, No. 99
1.0
-2.191 0.790 -3.531
3.326 -1.186 -2.330
-3.127 -8.738 -0.015
K Sr W
1 2 1
Cartesian
-1.615 -6.296 -2.941
-0.186 -0.521 -0.001
-0.432 -2.991 -2.935
-1.322 -3.695 -0.006